This record from Alexandria describes crystalline UTaS4 at its relaxed geometry. The functional is GGA-PBE.

Output
* ΔE_f (raw): -5.50 eV per formula unit
* VASP energy: -7.524 eV/atom
* D(E_F): 0.972 states/eV per atom
* energy above the most stable polymorph in this dataset: 0.69 eV per formula unit
* magnetization: 0.37 μB per atom

abc: 6.3401 6.3401 6.3719
angles: 91.39 91.39 103.12
Atoms (fractional coordinates):
U (0.0047, 0.9953, 0.7500)
U (0.9953, 0.0047, 0.2500)
Ta (0.3911, 0.6089, 0.7500)
Ta (0.6089, 0.3911, 0.2500)
S (0.1576, 0.7222, 0.5013)
S (0.2567, 0.3461, 0.0424)
S (0.2778, 0.8424, 0.9987)
S (0.3461, 0.2567, 0.5424)
S (0.6539, 0.7433, 0.4576)
S (0.7222, 0.1576, 0.0013)
S (0.7433, 0.6539, 0.9576)
S (0.8424, 0.2778, 0.4987)